Entry from the Alexandria database: BC3 after structural relaxation (PBE-GGA).

Computed properties:
The calculation puts the calculated total energy at -8.269 eV/atom. The formation energy is 318 meV per atom.

The structure in CIF format:
```
data_BC3
_space_group_name_H-M_alt 'P 1'
_space_group_IT_number 1
_cell_length_a 4.540
_cell_length_b 2.521
_cell_length_c 6.498
_cell_angle_alpha 90.00
_cell_angle_beta 91.27
_cell_angle_gamma 90.00
loop_
_space_group_symop_operation_xyz
'x,y,z'
loop_
_atom_site_label
_atom_site_fract_x
_atom_site_fract_y
_atom_site_fract_z
B1 0.000 0.000 0.000
B2 0.186 0.500 0.659
B3 0.679 0.000 0.666
C1 0.010 0.000 0.246
C2 0.200 0.500 0.903
C3 0.349 0.000 0.320
C4 0.352 0.000 0.551
C5 0.510 0.500 0.995
C6 0.512 0.500 0.237
C7 0.668 0.000 0.913
C8 0.847 0.500 0.326
C9 0.847 0.500 0.559
```